Record 1
DFT (PBE) results for LiYAsPd after structural relaxation.

Cell and atoms, written as extended XYZ:
```
4
Lattice="4.763 0.000 0.000 2.381 4.125 0.000 2.381 1.375 3.889" Properties=species:S:1:pos:R:3 pbc="T T T"
Y 7.144 4.125 2.917
As 0.000 0.000 0.000
Pd 4.763 2.750 1.944
Li 2.381 1.375 0.972
```

=====

Record 2
DFT (PBE) results for LiZnAsPd after structural relaxation.

Cell and atoms, written as extended XYZ:
```
4
Lattice="4.399 0.000 0.000 2.199 3.809 0.000 2.199 1.270 3.592" Properties=species:S:1:pos:R:3 pbc="T T T"
Li 0.000 0.000 0.000
As 6.598 3.809 2.694
Pd 4.399 2.540 1.796
Zn 2.199 1.270 0.898
```

=====

Record 3
DFT (PBE) results for Li2ZnAs2Pd5 after structural relaxation.

Cell and atoms, written as extended XYZ:
```
20
Lattice="-2.678 1.733 -1.928 3.803 -2.984 -7.967 -5.247 -7.692 0.376" Properties=species:S:1:pos:R:3 pbc="T T T"
Zn -0.722 -5.338 -3.795
Zn 0.000 0.000 0.000
As 0.687 -2.123 -2.864
As 1.373 -5.398 -6.761
As -2.132 -8.552 -4.727
As -2.817 -5.278 -0.830
Pd -3.963 -2.979 -0.776
Pd -0.969 -0.286 -2.513
Pd -5.270 -5.520 -1.244
Pd -3.197 -4.442 -3.155
Pd -2.823 -6.212 -5.266
Pd -3.153 -8.657 -7.005
Pd 0.562 -0.625 -4.947
Pd -1.300 -2.731 -4.252
Pd -0.926 -4.501 -6.364
Pd 1.147 -3.422 -8.275
Li 1.660 -3.276 -5.252
Li -0.333 -7.617 -6.385
Li -3.104 -7.400 -2.339
Li -1.111 -3.059 -1.206
```

=====

Record 4
DFT (PBE) results for Li2ZrAs2Pd2 after structural relaxation.

Cell and atoms, written as extended XYZ:
```
7
Lattice="4.216 0.000 0.000 2.108 3.651 0.000 2.108 1.217 7.305" Properties=species:S:1:pos:R:3 pbc="T T T"
Pd 4.216 2.434 5.281
Pd 4.216 2.434 2.023
As 2.108 1.217 1.550
As 6.324 3.651 5.755
Li 6.324 3.651 3.135
Li 2.108 1.217 4.170
Zr 0.000 0.000 0.000
```

=====

Record 5
DFT (PBE) results for LiPm2As after structural relaxation.

Cell and atoms, written as extended XYZ:
```
4
Lattice="-3.337 -1.914 1.071 0.199 -2.657 -4.129 2.691 -3.397 2.316" Properties=species:S:1:pos:R:3 pbc="T T T"
Li -0.223 -3.984 -0.371
Pm 0.100 -1.328 -2.064
Pm 1.346 -1.699 1.158
As -1.669 -0.957 0.535
```

Properties
The energy above the most stable polymorph in this dataset is 0 meV/atom.

=====

Record 6
DFT (PBE) results for LiPmAs2 after structural relaxation.

Cell and atoms, written as extended XYZ:
```
4
Lattice="-3.825 -0.205 1.173 1.237 -2.598 3.578 0.578 3.779 2.544" Properties=species:S:1:pos:R:3 pbc="T T T"
Li -1.912 -0.102 0.587
As 0.289 1.889 1.272
As 0.618 -1.299 1.789
Pm -1.005 0.488 3.648
```

Properties
The energy above the most stable polymorph in this dataset is 219 meV/atom.

=====

Record 7
DFT (PBE) results for LiPmAs after structural relaxation.

Cell and atoms, written as extended XYZ:
```
6
Lattice="4.374 0.000 0.000 0.000 4.202 0.000 0.000 -2.101 7.721" Properties=species:S:1:pos:R:3 pbc="T T T"
As 1.087 0.000 2.287
As 3.274 2.101 5.434
Li 4.369 2.101 7.721
Li 2.182 0.000 0.001
Pm 1.087 0.000 5.205
Pm 3.274 2.101 2.516
```

Properties
The energy above the most stable polymorph in this dataset is 203 meV/atom.

=====

Record 8
DFT (PBE) results for Li2PmAs after structural relaxation.

Cell and atoms, written as extended XYZ:
```
4
Lattice="4.990 0.000 0.000 0.000 4.209 0.000 0.000 0.000 4.209" Properties=species:S:1:pos:R:3 pbc="T T T"
Pm 2.495 2.105 2.105
Li 0.000 0.000 2.105
Li 0.000 2.105 0.000
As 2.495 0.000 0.000
```

Properties
The energy above the most stable polymorph in this dataset is 0 meV/atom.

=====

no.,V (Å³/cell),calculated formation energy (eV/atom),size of the total moment (μB/f.u.)
1,76,-0.809,0.0
2,60,-0.409,0.0
3,324,-0.448,0.0
4,112,-0.747,0.0
5,96,-0.601,0.0
6,84,-0.788,0.0
7,142,-0.827,0.0
8,88,-0.609,0.0